# 1
The following is a DFT calculation (PBE-GGA) of an optimized crystal structure of SrLaEr.

```
data_SrLaEr
_cell_length_a 3.813
_cell_length_b 3.813
_cell_length_c 16.184
_cell_angle_alpha 90.00
_cell_angle_beta 90.00
_cell_angle_gamma 90.00
_symmetry_space_group_name_H-M 'I 4 m m'
_symmetry_Int_Tables_number 107
_symmetry_space_group_name_Hall 'I 4 -2'
loop_
_atom_site_label
_atom_site_fract_x
_atom_site_fract_y
_atom_site_fract_z
_atom_site_occupancy
Sr1 0.000 0.000 0.000 1
La1 0.000 0.000 0.686 1
Er1 0.000 0.000 0.326 1
```

Values from the calculation:
Total magnetization, μB per cell: 0.0
Offset from the most stable computed form, meV per atom: 0

=====

# 2
The following is a DFT calculation (PBE-GGA) of an optimized crystal structure of SrLaEr.

```
data_SrLaEr
_cell_length_a 6.988
_cell_length_b 3.672
_cell_length_c 9.433
_cell_angle_alpha 90.00
_cell_angle_beta 90.00
_cell_angle_gamma 90.00
_symmetry_space_group_name_H-M 'P m m a'
_symmetry_Int_Tables_number 51
loop_
_symmetry_equiv_pos_as_xyz
'x,y,z'
'-x,-y,-z'
'-x+1/2,-y,z'
'x+1/2,y,-z'
'x+1/2,-y,-z'
'-x+1/2,y,z'
'-x,y,-z'
'x,-y,z'
loop_
_atom_site_label
_atom_site_fract_x
_atom_site_fract_y
_atom_site_fract_z
_atom_site_occupancy
Sr1 0.250 0.000 0.139 1
La1 0.250 0.500 0.761 1
Er1 0.000 0.000 0.500 1
```

Values from the calculation:
Total magnetization, μB per cell: 0.0
Offset from the most stable computed form, meV per atom: 101

=====

# 3
The following is a DFT calculation (PBE-GGA) of an optimized crystal structure of LaTb3Er6.

```
data_LaTb3Er6
_cell_length_a 9.440
_cell_length_b 15.317
_cell_length_c 8.909
_cell_angle_alpha 90.00
_cell_angle_beta 90.00
_cell_angle_gamma 90.00
_symmetry_space_group_name_H-M 'C m c 21'
_symmetry_Int_Tables_number 36
loop_
_symmetry_equiv_pos_as_xyz
'x,y,z'
'-x,-y,z+1/2'
'-x,y,z'
'x,-y,z+1/2'
'x+1/2,y+1/2,z'
'-x+1/2,-y+1/2,z+1/2'
'-x+1/2,y+1/2,z'
'x+1/2,-y+1/2,z+1/2'
loop_
_atom_site_label
_atom_site_fract_x
_atom_site_fract_y
_atom_site_fract_z
_atom_site_occupancy
La1 0.000 0.225 0.000 1
Tb1 0.000 0.453 0.908 1
Tb2 0.172 0.142 0.426 1
Er1 0.000 0.052 0.778 1
Er2 0.000 0.289 0.635 1
Er3 0.177 0.351 0.266 1
Er4 0.245 0.059 0.095 1
```

Values from the calculation:
Total magnetization, μB per cell: 0.0
Offset from the most stable computed form, meV per atom: 0

=====

# 4
The following is a DFT calculation (PBE-GGA) of an optimized crystal structure of La8TbEr3.

```
data_La8TbEr3
_cell_length_a 5.802
_cell_length_b 9.182
_cell_length_c 9.186
_cell_angle_alpha 101.55
_cell_angle_beta 108.37
_cell_angle_gamma 108.33
_symmetry_space_group_name_H-M 'P 1'
_symmetry_Int_Tables_number 1
loop_
_symmetry_equiv_pos_as_xyz
'x,y,z'
loop_
_atom_site_label
_atom_site_fract_x
_atom_site_fract_y
_atom_site_fract_z
_atom_site_occupancy
La1 0.000 0.000 0.000 1
La2 0.001 0.498 0.503 1
La3 0.327 0.696 0.959 1
La4 0.328 0.457 0.199 1
La5 0.664 0.036 0.292 1
La6 0.665 0.789 0.539 1
La7 0.671 0.538 0.804 1
La8 0.673 0.302 0.042 1
Tb1 0.015 0.764 0.267 1
Er1 0.338 0.209 0.469 1
Er2 0.340 0.967 0.712 1
Er3 0.989 0.237 0.740 1
```

Values from the calculation:
Total magnetization, μB per cell: 0.0
Final energy, eV per cell: -57.1

=====

# 5
The following is a DFT calculation (PBE-GGA) of an optimized crystal structure of La2TbEr8.

```
data_La2TbEr8
_cell_length_a 5.530
_cell_length_b 8.108
_cell_length_c 15.922
_cell_angle_alpha 90.00
_cell_angle_beta 90.00
_cell_angle_gamma 90.00
_symmetry_space_group_name_H-M 'I m m m'
_symmetry_Int_Tables_number 71
_symmetry_space_group_name_Hall '-I 2 2'
loop_
_atom_site_label
_atom_site_fract_x
_atom_site_fract_y
_atom_site_fract_z
_atom_site_occupancy
La1 0.000 0.000 0.202 1
Tb1 0.000 0.000 0.500 1
Er1 0.000 0.209 0.000 1
Er2 0.000 0.292 0.365 1
Er3 0.000 0.500 0.158 1
```

Values from the calculation:
Total magnetization, μB per cell: 0.0
Offset from the most stable computed form, meV per atom: 92

=====

# 6
The following is a DFT calculation (PBE-GGA) of an optimized crystal structure of LaTb3Er8.

```
data_LaTb3Er8
_cell_length_a 6.346
_cell_length_b 11.335
_cell_length_c 11.342
_cell_angle_alpha 90.00
_cell_angle_beta 90.00
_cell_angle_gamma 90.00
_symmetry_space_group_name_H-M 'I m m m'
_symmetry_Int_Tables_number 71
_symmetry_space_group_name_Hall '-I 2 2'
loop_
_atom_site_label
_atom_site_fract_x
_atom_site_fract_y
_atom_site_fract_z
_atom_site_occupancy
La1 0.000 0.000 0.000 1
Tb1 0.000 0.000 0.500 1
Tb2 0.000 0.500 0.243 1
Er1 0.000 0.172 0.251 1
Er2 0.247 0.257 0.000 1
```

Values from the calculation:
Total magnetization, μB per cell: 0.0
Final energy, eV per cell: -103.0

=====

# 7
The following is a DFT calculation (PBE-GGA) of an optimized crystal structure of La7Tb2Er2.

```
data_La7Tb2Er2
_cell_length_a 6.980
_cell_length_b 10.801
_cell_length_c 10.258
_cell_angle_alpha 90.00
_cell_angle_beta 90.74
_cell_angle_gamma 90.00
_symmetry_space_group_name_H-M 'C 1 2/m 1'
_symmetry_Int_Tables_number 12
loop_
_symmetry_equiv_pos_as_xyz
'x,y,z'
'-x,-y,-z'
'-x,y,-z'
'x,-y,z'
'x+1/2,y+1/2,z'
'-x+1/2,-y+1/2,-z'
'-x+1/2,y+1/2,-z'
'x+1/2,-y+1/2,z'
loop_
_atom_site_label
_atom_site_fract_x
_atom_site_fract_y
_atom_site_fract_z
_atom_site_occupancy
La1 0.000 0.000 0.000 1
La2 0.116 0.295 0.850 1
La3 0.191 0.000 0.366 1
Tb1 0.000 0.274 0.500 1
Er1 0.209 0.500 0.298 1
```

Values from the calculation:
Total magnetization, μB per cell: 0.0
Offset from the most stable computed form, meV per atom: 0

=====

# 8
The following is a DFT calculation (PBE-GGA) of an optimized crystal structure of La3TbEr3.

```
data_La3TbEr3
_cell_length_a 9.7106
_cell_length_b 9.7106
_cell_length_c 5.8039
_cell_angle_alpha 90.00
_cell_angle_beta 90.00
_cell_angle_gamma 120.00
_symmetry_space_group_name_H-M 'P 63/m'
_symmetry_Int_Tables_number 176
_symmetry_space_group_name_Hall '-P 6c'
loop_
_atom_site_label
_atom_site_fract_x
_atom_site_fract_y
_atom_site_fract_z
_atom_site_occupancy
La1 0.0523 0.8057 0.2500 1
Tb1 0.3333 0.6667 0.2500 1
Er1 0.0963 0.6131 0.7500 1
```

Values from the calculation:
Total magnetization, μB per cell: 0.0
Offset from the most stable computed form, meV per atom: 0

=====

# 9
The following is a DFT calculation (PBE-GGA) of an optimized crystal structure of LaTb2Er6.

```
data_LaTb2Er6
_cell_length_a 8.575
_cell_length_b 7.934
_cell_length_c 12.027
_cell_angle_alpha 90.00
_cell_angle_beta 133.74
_cell_angle_gamma 90.00
_symmetry_space_group_name_H-M 'P 1 21/c 1'
_symmetry_Int_Tables_number 14
loop_
_symmetry_equiv_pos_as_xyz
'x,y,z'
'-x,-y,-z'
'-x,y+1/2,-z+1/2'
'x,-y+1/2,z+1/2'
loop_
_atom_site_label
_atom_site_fract_x
_atom_site_fract_y
_atom_site_fract_z
_atom_site_occupancy
La1 0.000 0.000 0.000 1
Tb1 0.256 0.125 0.835 1
Er1 0.104 0.127 0.467 1
Er2 0.296 0.648 0.880 1
Er3 0.456 0.654 0.235 1
```

Values from the calculation:
Total magnetization, μB per cell: 0.0
Offset from the most stable computed form, meV per atom: 165

=====

# 10
The following is a DFT calculation (PBE-GGA) of an optimized crystal structure of La2Tb4Er3.

```
data_La2Tb4Er3
_cell_length_a 6.133
_cell_length_b 12.390
_cell_length_c 8.550
_cell_angle_alpha 90.00
_cell_angle_beta 110.93
_cell_angle_gamma 90.00
_symmetry_space_group_name_H-M 'C 1 2/m 1'
_symmetry_Int_Tables_number 12
loop_
_symmetry_equiv_pos_as_xyz
'x,y,z'
'-x,-y,-z'
'-x,y,-z'
'x,-y,z'
'x+1/2,y+1/2,z'
'-x+1/2,-y+1/2,-z'
'-x+1/2,y+1/2,-z'
'x+1/2,-y+1/2,z'
loop_
_atom_site_label
_atom_site_fract_x
_atom_site_fract_y
_atom_site_fract_z
_atom_site_occupancy
La1 0.117 0.000 0.231 1
Tb1 0.188 0.355 0.375 1
Er1 0.000 0.500 0.000 1
Er2 0.250 0.250 0.000 1
```

Values from the calculation:
Total magnetization, μB per cell: 0.0
Offset from the most stable computed form, meV per atom: 127

=====

# 11
The following is a DFT calculation (PBE-GGA) of an optimized crystal structure of La3Tb4Er4.

```
data_La3Tb4Er4
_cell_length_a 3.605
_cell_length_b 5.066
_cell_length_c 20.011
_cell_angle_alpha 97.26
_cell_angle_beta 95.16
_cell_angle_gamma 90.03
_symmetry_space_group_name_H-M 'P -1'
_symmetry_Int_Tables_number 2
loop_
_symmetry_equiv_pos_as_xyz
'x,y,z'
'-x,-y,-z'
loop_
_atom_site_label
_atom_site_fract_x
_atom_site_fract_y
_atom_site_fract_z
_atom_site_occupancy
La1 0.000 0.000 0.000 1
La2 0.363 0.363 0.725 1
Tb1 0.184 0.184 0.368 1
Tb2 0.453 0.454 0.907 1
Er1 0.091 0.091 0.182 1
Er2 0.272 0.272 0.544 1
```

Values from the calculation:
Total magnetization, μB per cell: 0.0
Offset from the most stable computed form, meV per atom: 0

=====

# 12
The following is a DFT calculation (PBE-GGA) of an optimized crystal structure of La12TbEr5.

```
data_La12TbEr5
_cell_length_a 19.060
_cell_length_b 10.887
_cell_length_c 6.366
_cell_angle_alpha 90.00
_cell_angle_beta 109.18
_cell_angle_gamma 90.00
_symmetry_space_group_name_H-M 'C 1 2/m 1'
_symmetry_Int_Tables_number 12
loop_
_symmetry_equiv_pos_as_xyz
'x,y,z'
'-x,-y,-z'
'-x,y,-z'
'x,-y,z'
'x+1/2,y+1/2,z'
'-x+1/2,-y+1/2,-z'
'-x+1/2,y+1/2,-z'
'x+1/2,-y+1/2,z'
loop_
_atom_site_label
_atom_site_fract_x
_atom_site_fract_y
_atom_site_fract_z
_atom_site_occupancy
La1 0.000 0.170 0.000 1
La2 0.000 0.329 0.500 1
La3 0.167 0.171 0.834 1
La4 0.167 0.329 0.334 1
Tb1 0.000 0.500 0.000 1
Er1 0.000 0.000 0.500 1
Er2 0.167 0.000 0.334 1
Er3 0.167 0.500 0.833 1
```

Values from the calculation:
Total magnetization, μB per cell: 0.0
Final energy, eV per cell: -172.4